[1]
A geometry-optimized K2MnPO4 structure. Source: Alexandria via LeMat-Bulk, functional GGA+U.

Cell lengths 5.4060, 6.5087, 11.0370 Å; angles 84.16, 75.82, 65.46 degrees
Fractional positions:
1 O 0.3603 0.8456 0.0794
2 O 0.9559 0.6544 0.5794
3 O 0.7941 0.8456 0.9206
4 O 0.1897 0.3456 0.4206
5 O 0.2853 0.1544 0.9206
6 O 0.5603 0.1544 0.0794
7 O 0.3897 0.6544 0.4206
8 O 0.4647 0.3456 0.5794
9 K 0.9292 0.5000 0.1416
10 K 0.8208 0.0000 0.3584
11 K 0.1792 0.0000 0.6416
12 K 0.5708 0.5000 0.8584
13 P 0.2500 0.5000 0.5000
14 P 0.5000 0.0000 0.0000
15 Mn 0.7500 0.5000 0.5000
16 Mn 0.0000 0.0000 0.0000

Computed properties:
As for the total magnetization: 0.563 μB/atom. The space-group type is Fddd, No. 70. The calculation puts the density of states at the Fermi level at 2.963 states/eV per cell. The crystal system is orthorhombic. The calculation puts the total energy at -97.2 eV/cell.

---

[2]
A geometry-optimized KMn6P7O24 structure. Source: Alexandria via LeMat-Bulk, functional GGA+U.

Cell lengths 27.1081, 5.4389, 6.6633 Å; angles 72.73, 90.00, 90.00 degrees
Fractional positions:
1 O 0.4782 0.3565 0.3688
2 O 0.8343 0.5635 0.0567
3 O 0.0576 0.9539 0.2917
4 O 0.4047 0.6431 0.6030
5 O 0.2964 0.0055 0.9405
6 O 0.6194 0.8909 0.2005
7 O 0.7500 0.3218 0.7846
8 O 0.1480 0.0153 0.3855
9 O 0.0477 0.3700 0.9984
10 O 0.5953 0.3569 0.3970
11 O 0.5218 0.6435 0.6312
12 O 0.8062 0.6358 0.3990
13 O 0.2500 0.6782 0.2154
14 O 0.3062 0.3642 0.6010
15 O 0.6657 0.5635 0.0567
16 O 0.5477 0.6300 0.0016
17 O 0.8806 0.8909 0.2005
18 O 0.0256 0.9110 0.8245
19 O 0.3343 0.4365 0.9433
20 O 0.9523 0.6300 0.0016
21 O 0.7500 0.8465 0.7799
22 O 0.4523 0.3700 0.9984
23 O 0.9782 0.6435 0.6312
24 O 0.8778 0.3436 0.7659
25 O 0.6222 0.3436 0.7659
26 O 0.4424 0.9539 0.2917
27 O 0.1194 0.1091 0.7995
28 O 0.8520 0.9847 0.6145
29 O 0.9424 0.0461 0.7083
30 O 0.3778 0.6564 0.2341
31 O 0.1657 0.4365 0.9433
32 O 0.1938 0.3642 0.6010
33 O 0.0218 0.3565 0.3688
34 O 0.6938 0.6358 0.3990
35 O 0.9744 0.0890 0.1755
36 O 0.2036 0.0055 0.9405
37 O 0.3520 0.0153 0.3855
38 O 0.6480 0.9847 0.6145
39 O 0.7036 0.9945 0.0595
40 O 0.7964 0.9945 0.0595
41 O 0.4744 0.9110 0.8245
42 O 0.5256 0.0890 0.1755
43 O 0.9047 0.3569 0.3970
44 O 0.0953 0.6431 0.6030
45 O 0.3806 0.1091 0.7995
46 O 0.5576 0.0461 0.7083
47 O 0.2500 0.1535 0.2201
48 O 0.1222 0.6564 0.2341
49 Mn 0.0976 0.7080 0.9138
50 Mn 0.9024 0.2920 0.0862
51 Mn 0.5446 0.6854 0.3138
52 Mn 0.9554 0.6854 0.3138
53 Mn 0.8172 0.6198 0.7205
54 Mn 0.4554 0.3146 0.6862
55 Mn 0.5976 0.2920 0.0862
56 Mn 0.1828 0.3802 0.2795
57 Mn 0.6828 0.6198 0.7205
58 Mn 0.4024 0.7080 0.9138
59 Mn 0.3172 0.3802 0.2795
60 Mn 0.0446 0.3146 0.6862
61 P 0.0243 0.2084 0.2057
62 P 0.6678 0.7503 0.1907
63 P 0.9757 0.7916 0.7943
64 P 0.6092 0.1821 0.6173
65 P 0.3322 0.2497 0.8093
66 P 0.5243 0.7916 0.7943
67 P 0.3908 0.8179 0.3827
68 P 0.4757 0.2084 0.2057
69 P 0.7500 0.0377 0.9067
70 P 0.1092 0.8179 0.3827
71 P 0.8322 0.7503 0.1907
72 P 0.1678 0.2497 0.8093
73 P 0.8908 0.1821 0.6173
74 P 0.2500 0.9623 0.0933
75 K 0.7500 0.2240 0.3744
76 K 0.2500 0.7760 0.6256

Computed properties:
As for the total magnetization: 0.789 μB/atom. The space-group type is P2_1/m, No. 11. The calculation puts the density of states at the Fermi level at 0.000 states/eV per cell. The crystal system is monoclinic. The calculation puts the total energy at -570.3 eV/cell.

---

[3]
A geometry-optimized KMnPO4 structure. Source: Alexandria via LeMat-Bulk, functional GGA+U.

Cell lengths 5.3607, 5.6857, 7.0786 Å; angles 90.00, 107.04, 90.00 degrees
Fractional positions:
1 O 0.5649 0.2500 0.4438
2 O 0.4178 0.7500 0.1988
3 O 0.0578 0.5333 0.3119
4 O 0.0578 0.9667 0.3119
5 O 0.9422 0.0333 0.6881
6 O 0.4351 0.7500 0.5562
7 O 0.5822 0.2500 0.8012
8 O 0.9422 0.4667 0.6881
9 Mn 0.2030 0.2500 0.5295
10 Mn 0.7970 0.7500 0.4705
11 K 0.6989 0.7500 0.9356
12 K 0.3011 0.2500 0.0644
13 P 0.7511 0.2500 0.6570
14 P 0.2489 0.7500 0.3430

Computed properties:
For the energy above the most stable polymorph in this dataset, the calculation gives 0.364 eV per formula unit. As for the total magnetization: 0.714 μB/atom. The space-group type is P2_1/m, No. 11. The calculation puts the density of states at the Fermi level at 0.000 states/eV per cell. The crystal system is monoclinic.

---

[4]
A geometry-optimized KMnPO4 structure. Source: Alexandria via LeMat-Bulk, functional GGA+U.

Cell lengths 5.5663, 8.7729, 9.1014 Å; angles 87.96, 89.04, 87.55 degrees
Fractional positions:
1 Mn 0.7329 0.8223 0.1026
2 Mn 0.2671 0.1778 0.8974
3 Mn 0.6845 0.3422 0.4229
4 Mn 0.3155 0.6578 0.5771
5 O 0.5532 0.8089 0.4653
6 O 0.7607 0.0427 0.1660
7 O 0.8329 0.6777 0.2774
8 O 0.3569 0.6768 0.8020
9 O 0.1671 0.3223 0.7226
10 O 0.9983 0.2201 0.4884
11 O 0.0017 0.7799 0.5116
12 O 0.4468 0.1911 0.5347
13 O 0.6431 0.3232 0.1980
14 O 0.2665 0.4500 0.4735
15 O 0.0271 0.2499 0.0595
16 O 0.6227 0.2120 0.9450
17 O 0.7335 0.5500 0.5265
18 O 0.3773 0.7880 0.0550
19 O 0.9729 0.7501 0.9405
20 O 0.2393 0.9573 0.8340
21 K 0.2381 0.0018 0.3207
22 K 0.7831 0.4952 0.8229
23 K 0.2169 0.5048 0.1771
24 K 0.7619 0.9982 0.6793
25 P 0.2161 0.2948 0.5569
26 P 0.2379 0.7948 0.9071
27 P 0.7621 0.2052 0.0929
28 P 0.7839 0.7052 0.4431

Computed properties:
For the energy above the most stable polymorph in this dataset, the calculation gives 0.000 eV per formula unit. As for the total magnetization: 0.714 μB/atom. The space-group type is P-1, No. 2. The calculation puts the density of states at the Fermi level at 0.000 states/eV per cell. The crystal system is triclinic.

---

[5]
A geometry-optimized KMn4P3O12 structure. Source: Alexandria via LeMat-Bulk, functional GGA+U.

Cell lengths 6.6435, 10.1928, 16.3114 Å; angles 90.00, 90.00, 90.00 degrees
Fractional positions:
1 K 0.2500 0.7531 0.7142
2 K 0.7500 0.2469 0.2858
3 K 0.7500 0.7469 0.2142
4 K 0.2500 0.2531 0.7858
5 O 0.4403 0.7557 0.3214
6 O 0.9403 0.2443 0.6786
7 O 0.2500 0.3881 0.0225
8 O 0.0595 0.0948 0.9031
9 O 0.7500 0.8977 0.9636
10 O 0.5595 0.9052 0.0969
11 O 0.7500 0.8787 0.4689
12 O 0.2500 0.6213 0.9689
13 O 0.5602 0.0581 0.3908
14 O 0.7500 0.3977 0.5364
15 O 0.5597 0.7443 0.8214
16 O 0.2500 0.8881 0.4775
17 O 0.4405 0.5948 0.5969
18 O 0.5597 0.2443 0.6786
19 O 0.9398 0.5581 0.1092
20 O 0.2500 0.8906 0.9540
21 O 0.2500 0.1023 0.0364
22 O 0.4398 0.9419 0.6092
23 O 0.2500 0.1213 0.5311
24 O 0.5595 0.4052 0.4031
25 O 0.0602 0.4419 0.8908
26 O 0.7500 0.4479 0.7318
27 O 0.0597 0.7557 0.3214
28 O 0.7500 0.9479 0.7682
29 O 0.9403 0.7443 0.8214
30 O 0.2500 0.2486 0.3155
31 O 0.9405 0.4052 0.4031
32 O 0.7500 0.2514 0.8155
33 O 0.7500 0.3787 0.0311
34 O 0.7500 0.6119 0.9775
35 O 0.4405 0.0948 0.9031
36 O 0.2500 0.3906 0.5460
37 O 0.4403 0.2557 0.1786
38 O 0.7500 0.6094 0.4540
39 O 0.0597 0.2557 0.1786
40 O 0.2500 0.7486 0.1845
41 O 0.0595 0.5948 0.5969
42 O 0.4398 0.4419 0.8908
43 O 0.9398 0.0581 0.3908
44 O 0.5602 0.5581 0.1092
45 O 0.9405 0.9052 0.0969
46 O 0.2500 0.0521 0.2318
47 O 0.2500 0.5521 0.2682
48 O 0.7500 0.1119 0.5225
49 O 0.7500 0.1094 0.0460
50 O 0.0602 0.9419 0.6092
51 O 0.7500 0.7514 0.6845
52 O 0.2500 0.6023 0.4636
53 Mn 0.0019 0.7467 0.4473
54 Mn 0.7500 0.5671 0.6268
55 Mn 0.4981 0.2467 0.0527
56 Mn 0.4981 0.7467 0.4473
57 Mn 0.2500 0.0419 0.3693
58 Mn 0.5019 0.2533 0.5527
59 Mn 0.2500 0.9329 0.1268
60 Mn 0.7500 0.4581 0.8693
61 Mn 0.9981 0.2533 0.5527
62 Mn 0.7500 0.0671 0.8732
63 Mn 0.5019 0.7533 0.9473
64 Mn 0.2500 0.4329 0.3732
65 Mn 0.2500 0.5419 0.1307
66 Mn 0.0019 0.2467 0.0527
67 Mn 0.7500 0.9581 0.6307
68 Mn 0.9981 0.7533 0.9473
69 P 0.2500 0.0441 0.9454
70 P 0.2500 0.2059 0.2237
71 P 0.2500 0.9729 0.5599
72 P 0.2500 0.7059 0.2763
73 P 0.7500 0.5271 0.0599
74 P 0.7500 0.2941 0.7237
75 P 0.7500 0.7941 0.7763
76 P 0.2500 0.4729 0.9401
77 P 0.7500 0.4559 0.4454
78 P 0.2500 0.5441 0.5546
79 P 0.7500 0.9559 0.0546
80 P 0.7500 0.0271 0.4401

Computed properties:
As for the total magnetization: 1.000 μB/atom. The space-group type is Pnma, No. 62. The calculation puts the density of states at the Fermi level at 0.000 states/eV per cell. The crystal system is orthorhombic. The calculation puts the total energy at -599.0 eV/cell.

---

[6]
A geometry-optimized KMnPO2 structure. Source: Alexandria via LeMat-Bulk, functional GGA+U.

Cell lengths 4.1106, 4.1106, 4.8357 Å; angles 90.00, 90.00, 90.00 degrees
Fractional positions:
1 P 0.0000 0.0000 0.5000
2 Mn 0.0000 0.0000 0.0000
3 O 0.5000 0.0000 0.0000
4 O 0.0000 0.5000 0.0000
5 K 0.5000 0.5000 0.5000

Computed properties:
For the energy above the most stable polymorph in this dataset, the calculation gives 0.000 eV per formula unit. As for the total magnetization: 0.212 μB/atom. The space-group type is P4/mmm, No. 123. The calculation puts the density of states at the Fermi level at 2.727 states/eV per cell. The crystal system is tetragonal.

---

[7]
A geometry-optimized K2MnP2O6 structure. Source: Alexandria via LeMat-Bulk, functional GGA+U.

Cell lengths 5.6823, 5.6823, 6.5239 Å; angles 64.18, 64.18, 60.00 degrees
Fractional positions:
1 O 0.2593 0.2593 0.7686
2 O 0.7128 0.2593 0.7686
3 O 0.7407 0.7407 0.2314
4 O 0.7407 0.2872 0.2314
5 O 0.2872 0.7407 0.2314
6 O 0.2593 0.7128 0.7686
7 K 0.7741 0.7741 0.6777
8 K 0.2259 0.2259 0.3223
9 Mn 0.0000 0.0000 0.0000
10 P 0.4350 0.4350 0.6949
11 P 0.5650 0.5650 0.3051

Computed properties:
As for the total magnetization: 0.455 μB/atom. The space-group type is R-3m, No. 166. The calculation puts the density of states at the Fermi level at 0.000 states/eV per cell. The crystal system is trigonal. The calculation puts the total energy at -73.7 eV/cell.

---

[8]
A geometry-optimized KMnPO2 structure. Source: Alexandria via LeMat-Bulk, functional GGA+U.

Cell lengths 4.4510, 4.4510, 6.2896 Å; angles 90.00, 90.00, 90.00 degrees
Fractional positions:
1 K 0.0000 0.0000 0.0000
2 Mn 0.5000 0.5000 0.5000
3 O 0.0000 0.5000 0.0000
4 O 0.5000 0.0000 0.0000
5 P 0.0000 0.0000 0.5000

Computed properties:
For the energy above the most stable polymorph in this dataset, the calculation gives 6.736 eV per formula unit. As for the total magnetization: 1.206 μB/atom. The space-group type is P4/mmm, No. 123. The calculation puts the density of states at the Fermi level at 5.517 states/eV per cell. The crystal system is tetragonal.

---

[9]
A geometry-optimized K4Ti3MnP6O24 structure. Source: Alexandria via LeMat-Bulk, functional GGA+U.

Cell lengths 10.0252, 10.0444, 10.0522 Å; angles 90.16, 90.00, 90.00 degrees
Fractional positions:
1 O 0.7053 0.2049 0.0464
2 O 0.9064 0.9387 0.7236
3 O 0.2593 0.2799 0.6999
4 O 0.9647 0.7071 0.7975
5 O 0.4497 0.9554 0.5256
6 O 0.2246 0.2323 0.2160
7 O 0.2981 0.4903 0.5139
8 O 0.5321 0.8167 0.3006
9 O 0.2163 0.0279 0.0381
10 O 0.9973 0.3258 0.1408
11 O 0.4647 0.2929 0.2025
12 O 0.7981 0.5097 0.4861
13 O 0.8042 0.2752 0.5618
14 O 0.4064 0.0613 0.2764
15 O 0.4304 0.9075 0.0011
16 O 0.9497 0.0446 0.4744
17 O 0.3042 0.7248 0.4382
18 O 0.2805 0.8354 0.1907
19 O 0.1453 0.2439 0.9191
20 O 0.9684 0.5362 0.2735
21 O 0.4919 0.1733 0.6532
22 O 0.6855 0.0276 0.5796
23 O 0.0815 0.6120 0.4928
24 O 0.3507 0.2520 0.4283
25 O 0.0321 0.1833 0.6994
26 O 0.9919 0.8267 0.3468
27 O 0.4684 0.4638 0.7265
28 O 0.7163 0.9721 0.9619
29 O 0.4973 0.6742 0.8592
30 O 0.8202 0.4922 0.0715
31 O 0.6453 0.7561 0.0809
32 O 0.5815 0.3880 0.5072
33 O 0.1855 0.9724 0.4204
34 O 0.5604 0.5739 0.2372
35 O 0.5214 0.9520 0.7618
36 O 0.7805 0.1646 0.8093
37 O 0.0647 0.5530 0.0479
38 O 0.8507 0.7480 0.5717
39 O 0.2053 0.7951 0.9536
40 O 0.9304 0.0925 0.9989
41 O 0.7425 0.3188 0.3234
42 O 0.7246 0.7677 0.7840
43 O 0.7593 0.7201 0.3001
44 O 0.0604 0.4261 0.7628
45 O 0.5647 0.4470 0.9521
46 O 0.0214 0.0480 0.2382
47 O 0.2425 0.6812 0.6766
48 O 0.3202 0.5078 0.9285
49 P 0.9601 0.4779 0.1274
50 P 0.7294 0.3718 0.4640
51 P 0.1222 0.2889 0.7730
52 P 0.4601 0.5221 0.8726
53 P 0.2294 0.6282 0.5360
54 P 0.8647 0.7889 0.7203
55 P 0.6222 0.7111 0.2270
56 P 0.0390 0.9715 0.3706
57 P 0.7821 0.1120 0.9560
58 P 0.5390 0.0285 0.6294
59 P 0.3647 0.2111 0.2797
60 P 0.2821 0.8880 0.0440
61 K 0.7961 0.4579 0.8040
62 K 0.2961 0.5421 0.1960
63 K 0.0665 0.3227 0.4347
64 K 0.9370 0.8067 0.0623
65 K 0.6993 0.0545 0.2876
66 K 0.5665 0.6773 0.5653
67 K 0.1993 0.9455 0.7124
68 K 0.4370 0.1933 0.9377
69 Mn 0.1457 0.6062 0.8563
70 Mn 0.6457 0.3938 0.1437
71 Ti 0.5863 0.8337 0.9109
72 Ti 0.3607 0.8921 0.3580
73 Ti 0.0863 0.1663 0.0891
74 Ti 0.9096 0.6577 0.4105
75 Ti 0.4096 0.3423 0.5895
76 Ti 0.8607 0.1079 0.6420

Computed properties:
As for the total magnetization: 0.132 μB/atom. The space-group type is P2_1, No. 4. The crystal system is monoclinic. The calculation puts the total energy at -562.3 eV/cell.

---

The highest total magnetization belongs to which entry? number 8